Record 1
Dy2Al4Ag3Au | PBE | relaxed

- Formation energy: -0.40 eV/atom
- E: -40.0 eV per cell
- D(E_F): 0.474 states/eV/atom
- Spin magnetization: 0.00 μB per atom

a b c (Å): 4.313 4.313 10.774
angles (deg): 90.00 90.00 90.00
Sites, in units of the cell vectors:
Dy (0.500, 0.000, 0.252)
Dy (0.000, 0.500, 0.748)
Al (0.500, 0.500, 0.000)
Al (0.000, 0.000, 0.000)
Al (0.500, 0.000, 0.633)
Al (0.000, 0.500, 0.367)
Ag (0.000, 0.000, 0.500)
Ag (0.500, 0.000, 0.864)
Ag (0.000, 0.500, 0.136)
Au (0.500, 0.500, 0.500)

---

Record 2
Dy4AlAg2Au | PBE | relaxed

- Formation energy: -0.48 eV/atom
- E: -35.0 eV per cell
- D(E_F): 0.734 states/eV/atom
- Spin magnetization: 0.00 μB per atom

a b c (Å): 5.116 5.116 8.898
angles (deg): 73.29 73.29 60.00
Sites, in units of the cell vectors:
Dy (0.378, 0.378, 0.866)
Dy (0.873, 0.873, 0.381)
Dy (0.127, 0.127, 0.619)
Dy (0.622, 0.622, 0.134)
Al (0.000, 0.000, 0.000)
Ag (0.743, 0.743, 0.771)
Ag (0.257, 0.257, 0.229)
Au (0.500, 0.500, 0.500)

---

Record 3
ErAlAgAu | PBE | relaxed

- Formation energy: -0.54 eV/atom
- E: -16.6 eV per cell
- D(E_F): 0.389 states/eV/atom
- Spin magnetization: 0.00 μB per atom

a b c (Å): 4.796 4.796 4.796
angles (deg): 60.00 60.00 60.00
Sites, in units of the cell vectors:
Au (0.750, 0.750, 0.750)
Al (0.500, 0.500, 0.500)
Ag (0.250, 0.250, 0.250)
Er (0.000, 0.000, 0.000)

---

Record 4
Er2Al4Ag3Au | PBE | relaxed

- Formation energy: -0.37 eV/atom
- E: -39.7 eV per cell
- D(E_F): 0.471 states/eV/atom
- Spin magnetization: 0.00 μB per atom

a b c (Å): 4.284 4.284 10.821
angles (deg): 90.00 90.00 90.00
Sites, in units of the cell vectors:
Er (0.500, 0.000, 0.252)
Er (0.000, 0.500, 0.748)
Al (0.500, 0.500, 0.000)
Al (0.000, 0.000, 0.000)
Al (0.500, 0.000, 0.634)
Al (0.000, 0.500, 0.366)
Ag (0.000, 0.000, 0.500)
Ag (0.500, 0.000, 0.863)
Ag (0.000, 0.500, 0.137)
Au (0.500, 0.500, 0.500)

---

Record 5
ErAl3AgAu | PBE | relaxed

- Formation energy: -0.22 eV/atom
- E: -46.5 eV per cell
- D(E_F): 0.454 states/eV/atom
- Spin magnetization: 0.00 μB per atom

a b c (Å): 5.837 6.066 7.267
angles (deg): 114.67 90.00 90.00
Sites, in units of the cell vectors:
Er (0.750, 0.308, 0.616)
Er (0.250, 0.692, 0.384)
Al (0.250, 0.137, 0.274)
Al (0.000, 0.289, 0.000)
Al (0.500, 0.711, 0.000)
Al (0.500, 0.289, 0.000)
Al (0.000, 0.711, 0.000)
Al (0.750, 0.863, 0.726)
Ag (0.250, 0.903, 0.806)
Ag (0.750, 0.097, 0.194)
Au (0.250, 0.338, 0.676)
Au (0.750, 0.662, 0.324)

---

Record 6
Er2Al4AgAu3 | PBE | relaxed

- Formation energy: -0.61 eV/atom
- E: -42.9 eV per cell
- D(E_F): 0.403 states/eV/atom
- Spin magnetization: 0.00 μB per atom

a b c (Å): 4.288 4.288 10.689
angles (deg): 90.00 90.00 90.00
Sites, in units of the cell vectors:
Er (0.500, 0.000, 0.250)
Er (0.000, 0.500, 0.750)
Al (0.500, 0.500, 0.000)
Al (0.000, 0.000, 0.000)
Al (0.500, 0.000, 0.635)
Al (0.000, 0.500, 0.365)
Ag (0.500, 0.500, 0.500)
Au (0.000, 0.000, 0.500)
Au (0.500, 0.000, 0.865)
Au (0.000, 0.500, 0.135)

---

Record 7
EuAlAgAu | PBE | relaxed

- Formation energy: -0.35 eV/atom
- E: -21.5 eV per cell
- D(E_F): 2.917 states/eV/atom
- Spin magnetization: 1.75 μB per atom

a b c (Å): 4.955 4.955 4.955
angles (deg): 60.00 60.00 60.00
Site moments in Bohr magnetons follow the coordinates.
Sites, in units of the cell vectors:
Eu (0.000, 0.000, 0.000)  6.74
Au (0.250, 0.250, 0.250)  0.01
Al (0.500, 0.500, 0.500)  0.00
Ag (0.750, 0.750, 0.750)  0.02

---

Record 8
GdAlAgAu | PBE | relaxed

- Formation energy: -0.50 eV/atom
- E: -26.0 eV per cell
- D(E_F): 0.436 states/eV/atom
- Spin magnetization: 1.78 μB per atom

a b c (Å): 4.863 4.863 4.863
angles (deg): 60.00 60.00 60.00
Site moments in Bohr magnetons follow the coordinates.
Sites, in units of the cell vectors:
Gd (0.000, 0.000, 0.000)  7.01
Au (0.750, 0.750, 0.750)  0.00
Al (0.500, 0.500, 0.500)  0.00
Ag (0.250, 0.250, 0.250)  0.01

---

Record 9
HfAlAgAu | PBE | relaxed

- Formation energy: -0.30 eV/atom
- E: -21.0 eV per cell
- D(E_F): 0.398 states/eV/atom
- Spin magnetization: 0.00 μB per atom

a b c (Å): 4.670 4.670 4.670
angles (deg): 60.00 60.00 60.00
Sites, in units of the cell vectors:
Hf (0.500, 0.500, 0.500)
Au (0.250, 0.250, 0.250)
Al (0.000, 0.000, 0.000)
Ag (0.750, 0.750, 0.750)

---

Record 10
HfAl2AgAu | PBE | relaxed

- Formation energy: 0.94 eV/atom
- E: -18.9 eV per cell
- D(E_F): 0.710 states/eV/atom
- Spin magnetization: 0.00 μB per atom

a b c (Å): 5.299 5.299 5.061
angles (deg): 90.00 90.00 90.00
Sites, in units of the cell vectors:
Hf (0.000, 0.000, 0.000)
Au (0.000, 0.000, 0.500)
Al (0.000, 0.500, 0.000)
Al (0.500, 0.000, 0.000)
Ag (0.500, 0.500, 0.500)

---

Record 11
Ho2Al3AgAu4 | PBE | relaxed

- Formation energy: -0.58 eV/atom
- E: -42.1 eV per cell
- D(E_F): 0.404 states/eV/atom
- Spin magnetization: 0.00 μB per atom

a b c (Å): 4.223 4.223 11.341
angles (deg): 90.00 90.00 90.00
Sites, in units of the cell vectors:
Ho (0.500, 0.000, 0.248)
Ho (0.000, 0.500, 0.752)
Al (0.000, 0.000, 0.500)
Al (0.500, 0.000, 0.872)
Al (0.000, 0.500, 0.128)
Ag (0.500, 0.500, 0.500)
Au (0.500, 0.500, 0.000)
Au (0.000, 0.000, 0.000)
Au (0.500, 0.000, 0.656)
Au (0.000, 0.500, 0.344)

---

Record 12
HoAl2AgAu2 | PBE | relaxed

- Formation energy: -0.56 eV/atom
- E: -24.8 eV per cell
- D(E_F): 0.588 states/eV/atom
- Spin magnetization: 0.00 μB per atom

a b c (Å): 4.468 4.468 6.627
angles (deg): 90.00 90.00 120.00
Sites, in units of the cell vectors:
Ho (0.000, 0.000, 0.000)
Al (0.333, 0.667, 0.687)
Al (0.667, 0.333, 0.313)
Ag (0.000, 0.000, 0.500)
Au (0.333, 0.667, 0.256)
Au (0.667, 0.333, 0.744)